# TaMnBe2Re, relaxed, DFT GGA-PBE
# - Formation energy: 1.7498 eV per atom
# - E: -6.435 eV per atom
# - Total moment: 3.08 μB per formula unit
data_TaMnBe2Re
_cell_length_a 4.4372
_cell_length_b 4.4372
_cell_length_c 4.7624
_cell_angle_alpha 90.00
_cell_angle_beta 90.00
_cell_angle_gamma 90.00
_symmetry_space_group_name_H-M 'P 4/m m m'
_symmetry_Int_Tables_number 123
_symmetry_space_group_name_Hall '-P 4 2'
loop_
_atom_site_label
_atom_site_type_symbol
_atom_site_fract_x
_atom_site_fract_y
_atom_site_fract_z
Ta1 Ta 0.0000 0.0000 0.0000
Mn1 Mn 0.5000 0.5000 0.5000
Be1 Be 0.0000 0.5000 0.0000
Re1 Re 0.0000 0.0000 0.5000